# 1
First-principles (PBE) data for a relaxed CuReCl2 crystal, as listed in the Alexandria database.

The raw formation energy comes out at 1.65 eV per formula unit. For the magnetization, the calculation gives 0.000 μB/f.u. The final energy comes out at -4.6472 eV per atom. The density of states at the Fermi level comes out at 1.8 states/eV per cell. As for the offset from the most stable computed form: 0.250 eV per atom.

abc: 2.9744 2.9744 7.8261
angles: 90.00 90.00 90.00
With the nearest neighbours (Å) after each atom.
Fractional positions:
Cu: 0.0000 0.0000 0.0000  4 Cl 2.56, 4 Re 2.73
Re: 0.5000 0.5000 0.2222  4 Cl 2.54, 4 Cu 2.73
Cl: 0.0000 0.0000 0.4037  4 Re 2.54
Cl: 0.5000 0.5000 0.8137  4 Cu 2.56


# 2
First-principles (PBE) data for a relaxed CuRe2Cl crystal, as listed in the Alexandria database.

The raw formation energy comes out at 3.72 eV per formula unit. For the magnetization, the calculation gives 0.000 μB/f.u. The final energy comes out at -6.7809 eV per atom. The density of states at the Fermi level comes out at 3.3 states/eV per cell. As for the offset from the most stable computed form: 0.645 eV per atom.

abc: 5.5446 5.5446 5.5446
angles: 151.18 131.77 57.16
With the nearest neighbours (Å) after each atom.
Fractional positions:
Cu: 0.0000 0.0000 0.0000  6 Re 2.66-2.90, 2 Cu 2.76
Re: 0.2622 0.7622 0.5000  4 Re 2.56-2.76, 4 Cl 2.69
Re: 0.4831 0.4831 0.0000  4 Re 2.56-2.76, 2 Cl 2.64, 4 Cu 2.66
Cl: 0.7138 0.2138 0.5000  6 Re 2.64-2.69, 2 Cl 2.76


# 3
First-principles (PBE) data for a relaxed CuReSCl2 crystal, as listed in the Alexandria database.

The raw formation energy comes out at 2.27 eV per formula unit. For the magnetization, the calculation gives 0.718 μB/f.u. The final energy comes out at -4.4191 eV per atom. The density of states at the Fermi level comes out at 3.0 states/eV per cell. As for the offset from the most stable computed form: 0.000 eV per atom.

abc: 4.9386 4.9386 4.4590
angles: 90.00 90.00 90.00
With the nearest neighbours (Å) after each atom.
Fractional positions:
Cu: 0.0000 0.0000 0.0000  8 Cl 3.33, 4 S 3.49
Re: 0.5000 0.5000 0.5000  2 S 2.23, 4 Cl 2.47
S: 0.5000 0.5000 0.0000  2 Re 2.23
Cl: 0.0000 0.5000 0.5000  2 Re 2.47
Cl: 0.5000 0.0000 0.5000  2 Re 2.47